TbDyScMn: optimized geometry, GGA-PBE.

extended XYZ file:
```
4
Lattice="0.000 3.681 3.681 3.681 0.000 3.681 3.681 3.681 0.000" Properties=species:S:1:pos:R:3 pbc="T T T"
Tb 0.000 0.000 0.000
Dy 3.681 3.681 3.681
Sc 1.840 1.840 1.840
Mn 5.521 5.521 5.521
```

Summary:
The energy is -0.2189 hartree per atom. Its density is 7.02 g cm⁻³. As for the crystal system: cubic. The magnetic moment is 2.74 μB/f.u.